8
Lattice="4.561 0.000 0.000 0.000 4.561 0.000 0.000 0.000 10.150" Properties=species:S:1:pos:R:3 comment="LaCeNiGe (PBE-GGA, optimized geometry)" formation_enthalpy_0k_ev_per_atom=-0.351 e_tot_ev_per_atom=-5.67 magmom_total_mub_per_cell=0.56 pbc="T T T"
La 1.140 1.140 1.605
La 3.421 3.421 8.545
Ce 1.140 3.421 5.075
Ce 3.421 1.140 5.075
Ni 1.140 1.140 6.526
Ni 3.421 3.421 3.624
Ge 1.140 1.140 8.781
Ge 3.421 3.421 1.370